No. 1
# ScCr2W (PBE, optimized geometry)
# - Offset from the most stable computed form: 0.044 eV/atom
# - Size of the total moment: 0.00 μB per formula unit
# - Space group: P4mm, No. 99
# - Formation energy: 0.25 eV per atom
data_ScCr2W
_symmetry_space_group_name_H-M 'P 1'
_symmetry_Int_Tables_number 1
_cell_length_a 2.945
_cell_length_b 2.945
_cell_length_c 6.970
_cell_angle_alpha 90.00
_cell_angle_beta 90.00
_cell_angle_gamma 90.00
loop_
_symmetry_equiv_pos_as_xyz
'x,y,z'
loop_
_atom_site_label
_atom_site_type_symbol
_atom_site_fract_x
_atom_site_fract_y
_atom_site_fract_z
W1 W 0.500 0.500 0.791
Cr1 Cr 0.000 0.000 0.023
Cr2 Cr 0.500 0.500 0.202
Sc1 Sc 0.000 0.000 0.484



No. 2
# ScCrW2 (PBE, optimized geometry)
# - Offset from the most stable computed form: 0.224 eV/atom
# - Size of the total moment: 2.49 μB per formula unit
# - Space group: I4/mmm, No. 139
# - Formation energy: 0.39 eV per atom
data_ScCrW2
_symmetry_space_group_name_H-M 'P 1'
_symmetry_Int_Tables_number 1
_cell_length_a 5.330
_cell_length_b 5.330
_cell_length_c 5.330
_cell_angle_alpha 138.00
_cell_angle_beta 138.00
_cell_angle_gamma 60.90
loop_
_symmetry_equiv_pos_as_xyz
'x,y,z'
loop_
_atom_site_label
_atom_site_type_symbol
_atom_site_fract_x
_atom_site_fract_y
_atom_site_fract_z
W1 W 0.500 0.500 0.000
Cr1 Cr 0.250 0.750 0.500
Sc1 Sc 0.750 0.250 0.500
W2 W 0.000 0.000 0.000



No. 3
# Sc2CrW (PBE, optimized geometry)
# - Offset from the most stable computed form: 0.325 eV/atom
# - Size of the total moment: 0.00 μB per formula unit
# - Space group: P4/mmm, No. 123
# - Formation energy: 0.45 eV per atom
data_Sc2CrW
_symmetry_space_group_name_H-M 'P 1'
_symmetry_Int_Tables_number 1
_cell_length_a 2.768
_cell_length_b 2.768
_cell_length_c 9.124
_cell_angle_alpha 90.00
_cell_angle_beta 90.00
_cell_angle_gamma 90.00
loop_
_symmetry_equiv_pos_as_xyz
'x,y,z'
loop_
_atom_site_label
_atom_site_type_symbol
_atom_site_fract_x
_atom_site_fract_y
_atom_site_fract_z
Sc1 Sc 0.000 0.000 0.988
Sc2 Sc 0.000 0.000 0.512
Cr1 Cr 0.500 0.500 0.750
W1 W 0.500 0.500 0.250



No. 4
# ScCrW2 (PBE, optimized geometry)
# - Offset from the most stable computed form: 0.712 eV/atom
# - Size of the total moment: 2.55 μB per formula unit
# - Space group: I-42d, No. 122
# - Formation energy: 0.88 eV per atom
data_ScCrW2
_symmetry_space_group_name_H-M 'P 1'
_symmetry_Int_Tables_number 1
_cell_length_a 3.784
_cell_length_b 3.784
_cell_length_c 10.295
_cell_angle_alpha 79.41
_cell_angle_beta 79.41
_cell_angle_gamma 90.00
loop_
_symmetry_equiv_pos_as_xyz
'x,y,z'
loop_
_atom_site_label
_atom_site_type_symbol
_atom_site_fract_x
_atom_site_fract_y
_atom_site_fract_z
W1 W 0.375 0.371 0.750
Cr1 Cr 0.750 0.250 0.500
Cr2 Cr 0.000 0.000 0.000
W2 W 0.629 0.125 0.250
Sc1 Sc 0.500 0.500 0.000
Sc2 Sc 0.250 0.750 0.500
W3 W 0.121 0.625 0.250
W4 W 0.875 0.879 0.750



No. 5
# ScCr2W (PBE, optimized geometry)
# - Offset from the most stable computed form: 0.155 eV/atom
# - Size of the total moment: 0.00 μB per formula unit
# - Space group: Immm, No. 71
# - Formation energy: 0.36 eV per atom
data_ScCr2W
_symmetry_space_group_name_H-M 'P 1'
_symmetry_Int_Tables_number 1
_cell_length_a 5.049
_cell_length_b 5.049
_cell_length_c 5.049
_cell_angle_alpha 144.01
_cell_angle_beta 126.11
_cell_angle_gamma 66.52
loop_
_symmetry_equiv_pos_as_xyz
'x,y,z'
loop_
_atom_site_label
_atom_site_type_symbol
_atom_site_fract_x
_atom_site_fract_y
_atom_site_fract_z
Sc1 Sc 0.750 0.250 0.500
Cr1 Cr 0.486 0.486 0.000
W1 W 0.250 0.750 0.500
Cr2 Cr 0.014 0.014 0.000



No. 6
# ScCrW2 (PBE, optimized geometry)
# - Offset from the most stable computed form: 0.283 eV/atom
# - Size of the total moment: 0.00 μB per formula unit
# - Space group: Cm, No. 8
# - Formation energy: 0.45 eV per atom
data_ScCrW2
_symmetry_space_group_name_H-M 'P 1'
_symmetry_Int_Tables_number 1
_cell_length_a 4.740
_cell_length_b 4.740
_cell_length_c 5.353
_cell_angle_alpha 90.60
_cell_angle_beta 90.60
_cell_angle_gamma 32.73
loop_
_symmetry_equiv_pos_as_xyz
'x,y,z'
loop_
_atom_site_label
_atom_site_type_symbol
_atom_site_fract_x
_atom_site_fract_y
_atom_site_fract_z
W1 W 0.999 0.999 0.994
Cr1 Cr 0.501 0.501 0.500
W2 W 0.747 0.747 0.748
Sc1 Sc 0.253 0.253 0.259



Question: Look up the size of the total moment of the third one.
Answer: 0.00 μB per formula unit